Entry 1:
Computed, not measured: crystalline Zr4ZnGaN2 at its relaxed geometry at the PBE-GGA level of DFT.

Properties
- total energy (eV per cell) = -63.517

Cell and atoms, written as POSCAR:
```
Zr4ZnGaN2
1.0
-0.4803 2.0541 -2.5169
-2.4177 -1.9980 0.9732
-4.5342 9.8066 8.8688
N Zr Ga Zn
2 4 1 1
Cartesian
-2.9101 1.8143 2.0361
-5.1680 6.6976 6.4525
-4.1200 7.1785 4.5024
-0.7262 1.5706 1.4204
-2.6665 4.0348 1.6593
-3.8080 8.2360 7.4484
-1.1261 0.7034 -1.3535
-2.2671 4.9033 4.4344
```

=====

Entry 2:
Computed, not measured: crystalline SiB4W at its relaxed geometry at the PBE-GGA level of DFT.

Properties
- total energy (eV per cell) = -43.805

Cell and atoms, written as POSCAR:
```
SiB4W
1.0
2.9995 0.0000 0.0000
-1.4997 2.5976 0.0000
0.0000 0.0000 6.9506
B Si W
4 1 1
Cartesian
0.0000 1.7318 1.7620
1.4997 0.8659 5.1886
1.4997 0.8659 1.7620
0.0000 1.7318 5.1886
0.0000 0.0000 0.0000
0.0000 0.0000 3.4753
```

=====

Entry 3:
Computed, not measured: crystalline NaCoAs at its relaxed geometry at the PBE-GGA level of DFT.

Properties
- total energy (eV per cell) = -10.281

Cell and atoms, written as POSCAR:
```
NaCoAs
1.0
0.0000 3.0780 3.0780
3.0780 0.0000 3.0780
3.0780 3.0780 0.0000
Na As Co
1 1 1
Cartesian
0.0000 0.0000 0.0000
1.5390 1.5390 1.5390
4.6170 4.6170 4.6170
```